Record 1
! Fe2CuNi | Alexandria | GGA-PBEsol | relaxed; values from VASP
! DFT formation energy = 0.081 eV/atom
! distance to the lowest polymorph of the same formula = 0.016 eV per atom
! SG = Pmm2, No. 25
! calculated volume = 43.7 Å³/cell
&SYSTEM
  ibrav = 0, nat = 4, ntyp = 3
/
ATOMIC_SPECIES
Ni 58.69 Ni.upf
Fe 55.84 Fe.upf
Cu 63.55 Cu.upf
CELL_PARAMETERS angstrom
2.461 0.000 0.000
0.000 4.053 0.000
0.000 0.000 4.386
ATOMIC_POSITIONS crystal
Ni 0.500 0.000 0.538
Fe 0.000 0.500 0.711
Fe 0.000 0.000 0.037
Cu 0.500 0.500 0.215

Record 2
! FeCuNi2 | Alexandria | GGA-PBEsol | relaxed; values from VASP
! DFT formation energy = 0.042 eV/atom
! SG = P4mm, No. 99
! calculated volume = 42.9 Å³/cell
&SYSTEM
  ibrav = 0, nat = 4, ntyp = 3
/
ATOMIC_SPECIES
Ni 58.69 Ni.upf
Fe 55.84 Fe.upf
Cu 63.55 Cu.upf
CELL_PARAMETERS angstrom
-1.624 -1.677 0.766
0.026 -1.042 -2.225
5.338 -4.235 2.046
ATOMIC_POSITIONS crystal
Ni 0.500 0.500 0.246
Fe 0.500 0.500 0.756
Cu 0.000 0.000 0.496
Ni 0.000 0.000 0.003